{"formula": "BeAs2PdSe", "functional": "PBE", "state": "relaxed", "dos_at_fermi_per_ev_fu": 2.88, "formation_energy_uncorrected_kj_per_mol_atoms": 44, "polymorph_energy_ev_per_atom": 0.000, "space_group": "P4/mmm (123)", "cell": [[-3.870, 1.994, 0.701], [-0.430, -2.174, 3.812], [2.173, 3.442, 2.207]], "species": ["Be", "As", "As", "Se", "Pd"], "frac_coords": [[0.000, 0.000, 0.000], [0.000, 0.500, 0.000], [0.500, 0.000, 0.000], [0.000, 0.000, 0.500], [0.500, 0.500, 0.500]]}

{"formula": "Na2HgPb9", "functional": "PBE", "state": "relaxed", "dos_at_fermi_per_ev_fu": 4.07, "final_energy_ev_per_cell": -37.11, "space_group": "P4/mmm (123)", "cell": [[-2.013, 2.548, -3.686], [-4.324, -0.045, 2.330], [3.548, 12.685, 6.830]], "species": ["Na", "Na", "Hg", "Pb", "Pb", "Pb", "Pb", "Pb", "Pb", "Pb", "Pb", "Pb"], "frac_coords": [[0.000, 0.000, 0.334], [0.000, 0.000, 0.666], [0.000, 0.000, 0.000], [0.500, 0.500, 0.000], [0.500, 0.500, 0.333], [0.500, 0.500, 0.667], [0.500, 0.000, 0.166], [0.500, 0.000, 0.500], [0.500, 0.000, 0.834], [0.000, 0.500, 0.166], [0.000, 0.500, 0.500], [0.000, 0.500, 0.834]]}

{"formula": "ScFe4P", "functional": "PBE", "state": "relaxed", "dos_at_fermi_per_ev_fu": 4.02, "final_energy_ev_per_cell": -45.90, "space_group": "F-43m (216)", "cell": [[-4.111, -0.731, 2.347], [-4.078, -0.593, -2.441], [-2.105, -4.300, -0.139]], "species": ["Sc", "Fe", "Fe", "Fe", "Fe", "P"], "frac_coords": [[0.000, 0.000, 0.000], [0.375, 0.874, 0.375], [0.874, 0.375, 0.375], [0.375, 0.375, 0.874], [0.375, 0.375, 0.375], [0.750, 0.750, 0.750]]}

{"formula": "Mg3H3Ir", "functional": "PBE", "state": "relaxed", "dos_at_fermi_per_ev_fu": 0.07, "polymorph_energy_ev_per_atom": 0.005, "space_group": "Cm (8)", "cell": [[5.146, 0.000, -0.015], [0.002, 4.210, -2.434], [-0.003, 0.000, 4.863]], "species": ["Mg", "Mg", "Mg", "H", "H", "H", "Ir"], "frac_coords": [[0.386, 0.364, 0.989], [0.801, 0.031, 0.322], [0.801, 0.698, 0.656], [0.061, 0.073, 0.699], [0.061, 0.655, 0.990], [0.062, 0.364, 0.280], [0.878, 0.364, 0.989]]}

{"formula": "MgIrW", "functional": "PBE", "state": "relaxed", "dos_at_fermi_per_ev_fu": 2.39, "polymorph_energy_ev_per_atom": 0.337, "space_group": "Fmm2 (42)", "cell": [[-1.566, -5.364, 4.699], [-0.761, -6.635, 2.381], [1.975, 0.118, 1.928]], "species": ["Ir", "Mg", "W"], "frac_coords": [[0.997, 0.997, 0.003], [0.662, 0.662, 0.338], [0.340, 0.340, 0.660]]}

{"formula": "ZrTiFe2", "functional": "PBE", "state": "relaxed", "dos_at_fermi_per_ev_fu": 4.51, "polymorph_energy_ev_per_atom": 0.800, "space_group": "I-42d (122)", "cell": [[3.932, 0.000, 0.000], [0.000, 3.932, 0.000], [1.966, 1.966, 8.768]], "species": ["Fe", "Fe", "Fe", "Fe", "Zr", "Zr", "Ti", "Ti"], "frac_coords": [[0.554, 0.125, 0.250], [0.196, 0.625, 0.250], [0.375, 0.446, 0.750], [0.875, 0.804, 0.750], [0.000, 0.000, 0.000], [0.750, 0.250, 0.500], [0.500, 0.500, 0.000], [0.250, 0.750, 0.500]]}